# ZrSi4Au, optimized geometry, DFT GGA-PBE
# **Total magnetization**: 0.00 μB per formula unit
# **E_tot**: -0.4118 Ry/atom
# **Energy relative to the elements, uncorrected**: -0.10 eV per formula unit
# **Volume**: 15.76 A^3/atom
data_ZrSi4Au
_space_group_name_H-M_alt 'F -4 3 m'
_space_group_IT_number 216
_space_group_name_Hall 'F -4 2 3'
_cell_length_a 7.232
_cell_length_b 7.232
_cell_length_c 7.232
_cell_angle_alpha 90.00
_cell_angle_beta 90.00
_cell_angle_gamma 90.00
loop_
_atom_site_label
_atom_site_type_symbol
_atom_site_fract_x
_atom_site_fract_y
_atom_site_fract_z
Zr1 Zr 0.000 0.000 0.000
Si1 Si 0.124 0.124 0.376
Au1 Au 0.250 0.250 0.750

# ZrSi2Au, optimized geometry, DFT GGA-PBE
# **Total magnetization**: 0.00 μB per formula unit
# **E_tot**: -0.4124 Ry/atom
# **Energy relative to the elements, uncorrected**: 0.23 eV per formula unit
# **Volume**: 17.55 A^3/atom
data_ZrSi2Au
_space_group_name_H-M_alt 'R -3 m'
_space_group_IT_number 166
_space_group_name_Hall '-R 3 2"'
_cell_length_a 3.0461
_cell_length_b 3.0461
_cell_length_c 26.2143
_cell_angle_alpha 90.00
_cell_angle_beta 90.00
_cell_angle_gamma 120.00
loop_
_atom_site_label
_atom_site_type_symbol
_atom_site_fract_x
_atom_site_fract_y
_atom_site_fract_z
Zr1 Zr 0.0000 0.0000 0.0000
Si1 Si 0.0000 0.0000 0.2457
Au1 Au 0.0000 0.0000 0.5000

> Among the records above, which one has the lowest energy relative to the elements, uncorrected?

ZrSi4Au

> What is the volume in the second record?

17.55 A^3/atom

> Look up the energy relative to the elements, uncorrected of the second one.

0.23 eV per formula unit

> What is the formula in the first record?

ZrSi4Au